Here is an optimized crystal structure of FeCuN2F from the Alexandria database. Energies are from GGA+U.

a b c (Å): 3.740 3.740 3.914
angles (deg): 90.00 90.00 90.00
Site moments in Bohr magnetons follow the coordinates.
Element x y z (fractional)
F1 0.000 0.000 0.500  0.05
Cu1 0.000 0.000 0.000  0.14
N1 0.000 0.500 0.000  0.40
N2 0.500 0.000 0.000  0.40
Fe1 0.500 0.500 0.500  3.88

## Properties
Its distance to the lowest polymorph of the same formula is 225 meV/atom. As for the crystal system: tetragonal. For the magnetic moment, the calculation gives 1.04 μB per atom.